1.
Entry from the Alexandria database: a relaxed structure of LiReTc2 (PBE-GGA).

The calculation puts the spin magnetization at 0.0 μB per cell. For the formation energy, the calculation gives 29.94 kJ per mole of atoms. The density of states at the Fermi level comes out at 0.724 states/eV/atom. For the total energy, the calculation gives -8.463 eV per atom. For the energy above the most stable polymorph in this dataset, the calculation gives 180 meV per atom.

POSCAR file:
```
LiReTc2
1.0
2.713 0.000 0.000
0.000 2.713 0.000
0.000 0.000 8.011
Li Re Tc
1 1 2
Direct
0.000 0.000 0.000
0.000 0.000 0.500
0.500 0.500 0.260
0.500 0.500 0.740
```

2.
Entry from the Alexandria database: a relaxed structure of ThInRuRh (PBE-GGA).

The calculation puts the spin magnetization at 0.0 μB per cell. For the formation energy, the calculation gives -49.74 kJ per mole of atoms. The density of states at the Fermi level comes out at 0.314 states/eV/atom. For the total energy, the calculation gives -7.212 eV per atom. For the energy above the most stable polymorph in this dataset, the calculation gives 39 meV per atom.

POSCAR file:
```
ThInRuRh
1.0
0.000 3.409 3.409
3.409 0.000 3.409
3.409 3.409 0.000
Th In Ru Rh
1 1 1 1
Direct
0.000 0.000 0.000
0.500 0.500 0.500
0.750 0.750 0.750
0.250 0.250 0.250
```

3.
Entry from the Alexandria database: a relaxed structure of K2MnPt (PBE-GGA).

The calculation puts the spin magnetization at 4.7 μB per cell. For the formation energy, the calculation gives 46.20 kJ per mole of atoms. The density of states at the Fermi level comes out at 0.375 states/eV/atom. For the total energy, the calculation gives -3.872 eV per atom. For the energy above the most stable polymorph in this dataset, the calculation gives 359 meV per atom.

POSCAR file:
```
K2MnPt
1.0
-2.613 2.613 3.704
2.613 -2.613 3.704
2.613 2.613 -3.704
K Mn Pt
2 1 1
Direct
0.000 0.000 0.000
0.750 0.250 0.500
0.250 0.750 0.500
0.500 0.500 0.000
```

4.
Entry from the Alexandria database: a relaxed structure of Dy3CoSb (PBE-GGA).

For the formation energy from raw total energies, the calculation gives -0.50 eV/atom. The calculation puts the spin magnetization at 0.0 μB per cell. The density of states at the Fermi level comes out at 0.699 states/eV/atom. For the total energy, the calculation gives -5.504 eV per atom. For the energy above the most stable polymorph in this dataset, the calculation gives 0 meV per atom.

POSCAR file:
```
Dy3CoSb
1.0
4.201 0.000 0.000
0.000 6.655 0.000
0.000 0.000 9.265
Dy Co Sb
6 2 2
Direct
0.250 0.005 0.149
0.250 0.250 0.593
0.250 0.495 0.149
0.750 0.505 0.851
0.750 0.750 0.407
0.750 0.995 0.851
0.250 0.250 0.898
0.750 0.750 0.102
0.250 0.750 0.646
0.750 0.250 0.354
```

5.
Entry from the Alexandria database: a relaxed structure of ZrAgCl2 (PBE-GGA).

For the formation energy from raw total energies, the calculation gives -0.75 eV/atom. The calculation puts the spin magnetization at 0.0 μB per cell. The density of states at the Fermi level comes out at 0.439 states/eV/atom. For the total energy, the calculation gives -4.525 eV per atom. For the energy above the most stable polymorph in this dataset, the calculation gives 171 meV per atom.

POSCAR file:
```
ZrAgCl2
1.0
3.125 0.000 0.000
0.000 3.125 0.000
0.000 0.000 10.568
Zr Ag Cl
1 1 2
Direct
0.000 0.000 0.000
0.000 0.000 0.500
0.500 0.500 0.150
0.500 0.500 0.850
```

6.
Entry from the Alexandria database: a relaxed structure of YCoMo2 (PBE-GGA).

The calculation puts the spin magnetization at 0.7 μB per cell. For the formation energy, the calculation gives 45.09 kJ per mole of atoms. The density of states at the Fermi level comes out at 0.996 states/eV/atom. For the total energy, the calculation gives -8.341 eV per atom. For the energy above the most stable polymorph in this dataset, the calculation gives 271 meV per atom.

POSCAR file:
```
YCoMo2
1.0
1.576 0.910 8.310
-1.576 0.910 8.310
0.000 -1.820 8.310
Y Co Mo
1 1 2
Direct
0.000 0.000 0.000
0.245 0.245 0.245
0.508 0.508 0.508
0.767 0.767 0.767
```